(1)
InGaNi2: relaxed, PBE.

```
InGaNi2
1.0
2.9866 0.0000 0.0000
0.0000 2.9866 0.0000
0.0000 0.0000 6.3133
In Ga Ni
1 1 2
direct
0.0000 0.0000 0.0000
0.0000 0.0000 0.5000
0.5000 0.5000 0.2853
0.5000 0.5000 0.7147
```

Computed properties:
Its crystal system is tetragonal. The density of states at the Fermi level is 0.635 states/eV/atom. The value obtained for the formation energy from the elements is -0.229 eV per atom. Its space group is P4/mmm (123).

---

(2)
InGa3Ni: relaxed, PBE.

```
InGa3Ni
1.0
4.6640 0.0000 0.0000
0.0000 4.6640 0.0000
0.0000 0.0000 4.6640
In Ga Ni
1 3 1
direct
0.0000 0.0000 0.0000
0.0000 0.5000 0.5000
0.5000 0.0000 0.5000
0.5000 0.5000 0.0000
0.5000 0.5000 0.5000
```

Computed properties:
Its crystal system is cubic. The density of states at the Fermi level is 0.660 states/eV/atom. The value obtained for the formation energy from the elements is -0.063 eV per atom. Its space group is Pm-3m (221).

---

(3)
InGaNi2: relaxed, PBE.

```
InGaNi2
1.0
4.4443 -2.4113 0.0000
4.4443 2.4113 0.0000
-1.3919 0.0000 5.5852
In Ga Ni
2 2 4
direct
0.1838 0.1838 0.1429
0.8162 0.8162 0.8571
0.5094 0.4906 0.0000
0.7433 0.2567 0.5000
0.1565 0.7212 0.2981
0.2753 0.3066 0.6199
0.2788 0.8435 0.7019
0.6934 0.7247 0.3801
```

Computed properties:
Its crystal system is monoclinic. The density of states at the Fermi level is 0.561 states/eV/atom. The value obtained for the formation energy from the elements is -0.130 eV per atom. Its space group is C2 (5).

---

(4)
InGa2Ni9: relaxed, PBE.

```
InGa2Ni9
1.0
3.6443 0.0000 0.0000
0.0000 3.6443 0.0000
0.0000 0.0000 10.8687
In Ga Ni
1 2 9
direct
0.0000 0.0000 0.0000
0.0000 0.0000 0.3386
0.0000 0.0000 0.6614
0.0000 0.5000 0.1791
0.0000 0.5000 0.5000
0.0000 0.5000 0.8209
0.5000 0.0000 0.1791
0.5000 0.0000 0.5000
0.5000 0.0000 0.8209
0.5000 0.5000 0.0000
0.5000 0.5000 0.3390
0.5000 0.5000 0.6610
```

Computed properties:
Its crystal system is tetragonal. The density of states at the Fermi level is 1.010 states/eV/atom. The value obtained for the formation energy from the elements is -0.204 eV per atom. Its space group is P4/mmm (123).

---

(5)
In3GaNi: relaxed, PBE.

```
In3GaNi
1.0
4.9690 0.0000 0.0000
0.0000 4.9690 0.0000
0.0000 0.0000 4.9690
In Ga Ni
3 1 1
direct
0.0000 0.0000 0.5000
0.0000 0.5000 0.0000
0.5000 0.0000 0.0000
0.5000 0.5000 0.5000
0.0000 0.0000 0.0000
```

Computed properties:
Its crystal system is cubic. The density of states at the Fermi level is 0.677 states/eV/atom. The value obtained for the formation energy from the elements is 0.053 eV per atom. Its space group is Pm-3m (221).

---

(6)
In2GaNi2: relaxed, PBE.

```
In2GaNi2
1.0
-2.0958 2.0958 5.4727
2.0958 -2.0958 5.4727
2.0958 2.0958 -5.4727
In Ga Ni
2 1 2
direct
0.2500 0.7500 0.5000
0.7500 0.2500 0.5000
0.0000 0.0000 0.0000
0.3956 0.3956 0.0000
0.6044 0.6044 0.0000
```

Computed properties:
Its crystal system is tetragonal. The density of states at the Fermi level is 0.657 states/eV/atom. The value obtained for the formation energy from the elements is 0.241 eV per atom. Its space group is I4/mmm (139).

---

(7)
InGa2Ni: relaxed, PBE.

```
InGa2Ni
1.0
-3.9711 3.9711 2.5041
3.9711 -3.9711 2.5041
3.9711 3.9711 -2.5041
In Ga Ni
2 4 2
direct
0.0000 0.0000 0.0000
0.7500 0.2500 0.5000
0.2149 0.1250 0.5899
0.3750 0.7851 0.9101
0.5351 0.6250 0.4101
0.8750 0.4649 0.0899
0.2500 0.7500 0.5000
0.5000 0.5000 0.0000
```

Computed properties:
Its crystal system is tetragonal. The density of states at the Fermi level is 0.572 states/eV/atom. The value obtained for the formation energy from the elements is 0.020 eV per atom. Its space group is I-42d (122).

---

(8)
InGaNi2: relaxed, PBE.

```
InGaNi2
1.0
-2.0151 2.0151 8.2201
2.0151 -2.0151 8.2201
2.0151 2.0151 -8.2201
In Ga Ni
2 2 4
direct
0.0000 0.0000 0.0000
0.7500 0.2500 0.5000
0.2500 0.7500 0.5000
0.5000 0.5000 0.0000
0.1883 0.6250 0.0633
0.3750 0.4383 0.5633
0.5617 0.1250 0.9367
0.8750 0.8117 0.4367
```

Computed properties:
Its crystal system is tetragonal. The density of states at the Fermi level is 0.786 states/eV/atom. The value obtained for the formation energy from the elements is 0.201 eV per atom. Its space group is I-42d (122).

---

Total moment values (in μB/f.u.) by entry order: 0.00, 0.00, 0.00, 2.18, 0.00, 0.00, 0.00, 0.00.